(1)
Below is K2Er2TiS6 after structural relaxation, with properties calculated at the GGA-PBE level.

**Energy relative to the elements, uncorrected**: -1803 kJ/mol of formula units
**Calculated volume**: 26.05 Å³/atom

Cell lengths 6.616, 6.616, 7.858 Å; angles 98.46, 98.46, 119.44 degrees
Atoms (fractional coordinates):
K: 0.829 0.171 0.000
K: 0.171 0.829 0.000
S: 0.066 0.375 0.691
S: 0.934 0.625 0.309
S: 0.760 0.760 0.689
S: 0.625 0.934 0.309
S: 0.375 0.066 0.691
S: 0.240 0.240 0.311
Ti: 0.000 0.000 0.500
Er: 0.667 0.333 0.500
Er: 0.333 0.667 0.500

(2)
Below is K4Er3TiS8 after structural relaxation, with properties calculated at the GGA-PBE level.

**Energy relative to the elements, uncorrected**: -2655 kJ/mol of formula units
**Calculated volume**: 24.66 Å³/atom

Cell lengths 7.876, 8.639, 7.876 Å; angles 117.12, 120.00, 90.00 degrees
Last column: magnetic moment on the atom in μB.
Atoms (fractional coordinates):
K: 0.000 0.000 0.000  0.00
K: 0.500 0.000 0.000  0.00
K: 0.500 0.000 0.500  0.00
K: 0.000 0.000 0.500  0.00
S: 0.734 0.703 0.469  0.00
S: 0.266 0.297 0.531  0.00
S: 0.224 0.695 0.447  -0.01
S: 0.224 0.695 0.971  -0.01
S: 0.252 0.305 0.029  -0.01
S: 0.748 0.695 0.971  -0.01
S: 0.776 0.305 0.029  -0.01
S: 0.776 0.305 0.553  -0.01
Er: 0.500 0.500 0.500  0.02
Er: 0.000 0.500 0.500  0.02
Er: 0.500 0.500 0.000  0.02
Ti: 0.000 0.500 0.000  0.83

(3)
Below is K3Er2TiS6 after structural relaxation, with properties calculated at the GGA-PBE level.

**Energy relative to the elements, uncorrected**: -1932 kJ/mol of formula units
**Calculated volume**: 24.31 Å³/atom

Cell lengths 6.777, 6.777, 7.676 Å; angles 98.48, 98.48, 120.02 degrees
Last column: magnetic moment on the atom in μB.
Atoms (fractional coordinates):
S: 0.619 0.935 0.804  -0.01
S: 0.065 0.381 0.196  -0.01
S: 0.381 0.065 0.196  -0.01
S: 0.250 0.250 0.804  -0.01
S: 0.750 0.750 0.196  -0.01
S: 0.935 0.619 0.804  -0.01
Ti: 0.000 0.000 0.000  0.83
Er: 0.666 0.334 0.000  0.02
Er: 0.334 0.666 0.000  0.02
K: 0.500 0.500 0.500  0.00
K: 0.830 0.170 0.500  0.00
K: 0.170 0.830 0.500  0.00